The following is a PBE calculation of a relaxed CdMoOs2 crystal, from Alexandria.

a b c (Å): 9.5667 9.5667 9.5667
angles (deg): 16.83 16.83 16.83
Closest atoms and distances in Å follow each position.
Positions (direct):
Cd1 0.0000 0.0000 0.0000  6 Cd 2.80, 3 Os 2.99, 3 Mo 3.04
Mo1 0.7579 0.7579 0.7579  3 Os 2.75, 6 Mo 2.80, 3 Cd 3.04
Os1 0.2445 0.2445 0.2445  9 Os 2.66-2.80
Os2 0.5032 0.5032 0.5032  9 Os 2.66-2.80, 3 Mo 2.75

## Properties
Total DFT energy (no corrections), eV/atom: -8.22
Symmetry: R3m, No. 160
Formation energy, eV/atom: 0.334
DOS at the Fermi energy, states/eV/f.u.: 4.75

The following is a PBE calculation of a relaxed Nd2Pd5Au5 crystal, from Alexandria.

a b c (Å): 4.5466 5.5080 9.5500
angles (deg): 90.00 90.00 90.00
Closest atoms and distances in Å follow each position.
Positions (direct):
Nd1 0.0000 0.0000 0.0000  6 Au 3.18-3.21
Nd2 0.0000 0.5000 0.5000  6 Au 3.13-3.18
Pd1 0.5000 0.0000 0.5000  4 Pd 2.74, 4 Au 2.78
Pd2 0.5000 0.2490 0.2516  3 Pd 2.74-2.77, 5 Au 2.77
Pd3 0.5000 0.2490 0.7484  3 Pd 2.74-2.77, 5 Au 2.77
Pd4 0.5000 0.7510 0.2516  3 Pd 2.74-2.77, 5 Au 2.77
Pd5 0.5000 0.7510 0.7484  3 Pd 2.74-2.77, 5 Au 2.77
Au1 0.0000 0.0000 0.3330  6 Pd 2.77-2.78
Au2 0.0000 0.0000 0.6670  6 Pd 2.77-2.78
Au3 0.0000 0.5000 0.1720  4 Pd 2.77, 2 Au 2.80
Au4 0.0000 0.5000 0.8280  4 Pd 2.77, 2 Au 2.80
Au5 0.5000 0.5000 0.0000  4 Pd 2.77, 4 Au 2.80

## Properties
Total DFT energy (no corrections), eV/atom: -4.86
Symmetry: Pmmm, No. 47
Formation energy, eV/atom: -0.538
Offset from the most stable computed form, eV/atom: 0.011
DOS at the Fermi energy, states/eV/f.u.: 5.77

The following is a PBE calculation of a relaxed CdAg4Pd5 crystal, from Alexandria.

a b c (Å): 3.2408 3.2408 15.9888
angles (deg): 90.00 90.00 90.00
Closest atoms and distances in Å follow each position.
Positions (direct):
Cd1 0.0000 0.0000 0.0000  8 Pd 2.81
Ag1 0.0000 0.0000 0.2032  8 Pd 2.78-2.81
Ag2 0.0000 0.0000 0.4011  8 Pd 2.78-2.79
Ag3 0.0000 0.0000 0.5989  8 Pd 2.78-2.79
Ag4 0.0000 0.0000 0.7968  8 Pd 2.78-2.81
Pd1 0.5000 0.5000 0.1012  4 Cd 2.81, 4 Ag 2.81
Pd2 0.5000 0.5000 0.3013  8 Ag 2.78-2.79
Pd3 0.5000 0.5000 0.5000  8 Ag 2.78
Pd4 0.5000 0.5000 0.6987  8 Ag 2.78-2.79
Pd5 0.5000 0.5000 0.8988  4 Cd 2.81, 4 Ag 2.81

## Properties
Total DFT energy (no corrections), eV/atom: -3.92
Symmetry: P4/mmm, No. 123
Formation energy, eV/atom: -0.095
Offset from the most stable computed form, eV/atom: 0.000
DOS at the Fermi energy, states/eV/f.u.: 4.80

The following is a PBE calculation of a relaxed Tl2BF crystal, from Alexandria.

a b c (Å): 4.6855 4.6855 4.6855
angles (deg): 60.00 60.00 60.00
Closest atoms and distances in Å follow each position.
Positions (direct):
Tl1 0.2500 0.2500 0.2500  4 F 2.87, 4 B 2.87
Tl2 0.7500 0.7500 0.7500  4 F 2.87, 4 B 2.87
B1 0.0000 0.0000 0.0000  8 Tl 2.87
F1 0.5000 0.5000 0.5000  8 Tl 2.87

## Properties
ΔE_f (raw), kcal/mol of atoms: 4.23
Total DFT energy (no corrections), eV/atom: -3.14
Symmetry: Fm-3m, No. 225
Offset from the most stable computed form, eV/atom: 0.320
DOS at the Fermi energy, states/eV/f.u.: 1.65

The following is a PBE calculation of a relaxed Li2PbAuO crystal, from Alexandria.

a b c (Å): 4.0991 4.0991 5.1183
angles (deg): 90.00 90.00 90.00
Closest atoms and distances in Å follow each position.
Positions (direct):
Li1 0.0000 0.5000 0.0000  2 O 2.05
Li2 0.5000 0.0000 0.0000  2 O 2.05
Pb1 0.0000 0.0000 0.5000  2 O 2.56
Au1 0.5000 0.5000 0.5000  4 Pb 2.90
O1 0.0000 0.0000 0.0000  4 Li 2.05

## Properties
ΔE_f (raw), kcal/mol of atoms: -20.89
Total DFT energy (no corrections), eV/atom: -4.06
Symmetry: P4/mmm, No. 123
DOS at the Fermi energy, states/eV/f.u.: 0.56

The following is a PBE calculation of a relaxed ReSb3F crystal, from Alexandria.

a b c (Å): 4.7714 4.7714 4.7714
angles (deg): 90.00 90.00 90.00
Closest atoms and distances in Å follow each position.
Positions (direct):
Re1 0.0000 0.0000 0.0000  12 Sb 3.37
Sb1 0.0000 0.5000 0.5000  2 F 2.39
Sb2 0.5000 0.0000 0.5000  2 F 2.39
Sb3 0.5000 0.5000 0.0000  2 F 2.39
F1 0.5000 0.5000 0.5000  6 Sb 2.39

## Properties
ΔE_f (raw), kcal/mol of atoms: 15.52
Total DFT energy (no corrections), eV/atom: -4.66
Symmetry: Pm-3m, No. 221
Offset from the most stable computed form, eV/atom: 0.426
DOS at the Fermi energy, states/eV/f.u.: 4.54

The following is a PBE calculation of a relaxed Ba2MoH6 crystal, from Alexandria.

a b c (Å): 5.7997 5.7997 5.7997
angles (deg): 60.00 60.00 60.00
Closest atoms and distances in Å follow each position.
Positions (direct):
Ba1 0.2500 0.2500 0.2500  12 H 2.91
Ba2 0.7500 0.7500 0.7500  12 H 2.91
Mo1 0.0000 0.0000 0.0000  6 H 1.87
H1 0.2275 0.2275 0.7725  1 Mo 1.87
H2 0.2275 0.7725 0.2275  1 Mo 1.87
H3 0.2275 0.7725 0.7725  1 Mo 1.87
H4 0.7725 0.2275 0.2275  1 Mo 1.87
H5 0.7725 0.2275 0.7725  1 Mo 1.87
H6 0.7725 0.7725 0.2275  1 Mo 1.87

## Properties
Total DFT energy (no corrections), eV/atom: -4.17
Symmetry: Fm-3m, No. 225
DOS at the Fermi energy, states/eV/f.u.: 3.94

The following is a PBE calculation of a relaxed AcLa3Sm6 crystal, from Alexandria.

a b c (Å): 9.3195 9.3195 9.2606
angles (deg): 90.00 90.00 116.21
Closest atoms and distances in Å follow each position.
Positions (direct):
Ac1 0.2189 0.7811 0.5000  6 Sm 3.54-3.92, 3 La 3.57-3.62
Ac2 0.7811 0.2189 0.0000  6 Sm 3.54-3.92, 3 La 3.57-3.62
La1 0.0467 0.9533 0.2513  2 La 3.53, 1 Ac 3.57, 7 Sm 3.58-3.95
La2 0.1971 0.3288 0.0777  7 Sm 3.41-3.81, 1 La 3.53, 1 Ac 3.62
La3 0.3288 0.1971 0.5777  7 Sm 3.41-3.81, 1 La 3.53, 1 Ac 3.62
La4 0.6712 0.8029 0.0777  7 Sm 3.41-3.81, 1 La 3.53, 1 Ac 3.62
La5 0.8029 0.6712 0.5777  7 Sm 3.41-3.81, 1 La 3.53, 1 Ac 3.62
La6 0.9533 0.0467 0.7513  2 La 3.53, 1 Ac 3.57, 7 Sm 3.58-3.95
Sm1 0.0295 0.3234 0.4088  5 Sm 3.41-3.60, 3 La 3.43-3.81
Sm2 0.1778 0.4724 0.7435  3 La 3.41-3.76, 3 Sm 3.43-3.60, 1 Ac 3.54
Sm3 0.2794 0.7206 0.1302  3 Sm 3.41-3.58, 2 La 3.42, 1 Ac 3.56
Sm4 0.3234 0.0295 0.9088  5 Sm 3.41-3.60, 3 La 3.43-3.81
Sm5 0.4458 0.5542 0.3918  4 La 3.47-3.73, 5 Sm 3.51-3.87, 1 Ac 3.73
Sm6 0.4724 0.1778 0.2435  3 La 3.41-3.76, 3 Sm 3.43-3.60, 1 Ac 3.54
Sm7 0.5276 0.8222 0.7435  3 La 3.41-3.76, 3 Sm 3.43-3.60, 1 Ac 3.54
Sm8 0.5542 0.4458 0.8918  4 La 3.47-3.73, 5 Sm 3.51-3.87, 1 Ac 3.73
Sm9 0.6766 0.9705 0.4088  5 Sm 3.41-3.60, 3 La 3.43-3.81
Sm10 0.7206 0.2794 0.6302  3 Sm 3.41-3.58, 2 La 3.42, 1 Ac 3.56
Sm11 0.8222 0.5276 0.2435  3 La 3.41-3.76, 3 Sm 3.43-3.60, 1 Ac 3.54
Sm12 0.9705 0.6766 0.9088  5 Sm 3.41-3.60, 3 La 3.43-3.81

## Properties
Total DFT energy (no corrections), eV/atom: -4.60
Symmetry: Cmc2_1, No. 36
Formation energy, eV/atom: 0.125
DOS at the Fermi energy, states/eV/f.u.: 14.73

The following is a PBE calculation of a relaxed CuMoCl3 crystal, from Alexandria.

a b c (Å): 4.9844 4.9844 4.9844
angles (deg): 90.00 90.00 90.00
Closest atoms and distances in Å follow each position.
Positions (direct):
Cu1 0.0000 0.0000 0.0000  12 Cl 3.52
Mo1 0.5000 0.5000 0.5000  6 Cl 2.49
Cl1 0.0000 0.5000 0.5000  2 Mo 2.49
Cl2 0.5000 0.0000 0.5000  2 Mo 2.49
Cl3 0.5000 0.5000 0.0000  2 Mo 2.49

## Properties
ΔE_f (raw), kcal/mol of atoms: 2.49
Total DFT energy (no corrections), eV/atom: -3.99
Symmetry: Pm-3m, No. 221
Offset from the most stable computed form, eV/atom: 0.000
DOS at the Fermi energy, states/eV/f.u.: 2.54

The following is a PBE calculation of a relaxed Hf6Ge2P crystal, from Alexandria.

a b c (Å): 5.6173 7.2066 10.3962
angles (deg): 90.00 121.96 90.00
Closest atoms and distances in Å follow each position.
Positions (direct):
Hf1 0.0745 0.1855 0.4465  1 P 2.53, 2 Ge 2.76-2.78
Hf2 0.0745 0.3145 0.9465  1 P 2.53, 2 Ge 2.76-2.78
Hf3 0.3093 0.6722 0.4468  1 P 2.53, 2 Ge 2.73-2.79
Hf4 0.3093 0.8278 0.9468  1 P 2.53, 2 Ge 2.73-2.79
Hf5 0.3484 0.0285 0.2235  1 P 2.54, 2 Ge 2.81-2.83
Hf6 0.3484 0.4715 0.7235  1 P 2.54, 2 Ge 2.81-2.83
Hf7 0.6516 0.5285 0.2765  1 P 2.54, 2 Ge 2.81-2.83
Hf8 0.6516 0.9715 0.7765  1 P 2.54, 2 Ge 2.81-2.83
Hf9 0.6907 0.1722 0.0532  1 P 2.53, 2 Ge 2.73-2.79
Hf10 0.6907 0.3278 0.5532  1 P 2.53, 2 Ge 2.73-2.79
Hf11 0.9255 0.6855 0.0535  1 P 2.53, 2 Ge 2.76-2.78
Hf12 0.9255 0.8145 0.5535  1 P 2.53, 2 Ge 2.76-2.78
Ge1 0.1625 0.1164 0.7484  8 Hf 2.73-3.01
Ge2 0.1625 0.3836 0.2484  8 Hf 2.73-3.01
Ge3 0.8375 0.6164 0.7516  8 Hf 2.73-3.01
Ge4 0.8375 0.8836 0.2516  8 Hf 2.73-3.01
P1 0.5000 0.0000 0.5000  6 Hf 2.53-2.54
P2 0.5000 0.5000 0.0000  6 Hf 2.53-2.54

## Properties
Total DFT energy (no corrections), eV/atom: -8.90
Symmetry: P2_1/c, No. 14
Formation energy, eV/atom: -0.637
DOS at the Fermi energy, states/eV/f.u.: 4.89

The following is a PBE calculation of a relaxed ZrCo2SiGe crystal, from Alexandria.

a b c (Å): 4.5739 4.5739 5.0880
angles (deg): 90.00 90.00 90.00
Closest atoms and distances in Å follow each position.
Positions (direct):
Zr1 0.0000 0.0000 0.0000  4 Co 2.29, 2 Si 2.54
Co1 0.0000 0.5000 0.0000  2 Zr 2.29
Co2 0.5000 0.0000 0.0000  2 Zr 2.29
Si1 0.0000 0.0000 0.5000  2 Zr 2.54
Ge1 0.5000 0.5000 0.5000  4 Si 3.23, 8 Co 3.42

## Properties
ΔE_f (raw), kcal/mol of atoms: 30.69
Total DFT energy (no corrections), eV/atom: -5.23
Symmetry: P4/mmm, No. 123
DOS at the Fermi energy, states/eV/f.u.: 6.63

The following is a PBE calculation of a relaxed LaScMn crystal, from Alexandria.

a b c (Å): 4.7914 4.7914 4.7914
angles (deg): 60.00 60.00 60.00
Closest atoms and distances in Å follow each position.
Positions (direct):
La1 0.0000 0.0000 0.0000  4 Sc 2.93, 4 Mn 2.93
Sc1 0.7500 0.7500 0.7500  4 La 2.93
Mn1 0.2500 0.2500 0.2500  4 La 2.93

## Properties
Total DFT energy (no corrections), eV/atom: -5.84
Symmetry: F-43m, No. 216
Formation energy, eV/atom: 0.965
Offset from the most stable computed form, eV/atom: 0.766
DOS at the Fermi energy, states/eV/f.u.: 6.37

The following is a PBE calculation of a relaxed HgAu6 crystal, from Alexandria.

a b c (Å): 7.3087 7.3087 7.3087
angles (deg): 118.29 118.29 118.29
Closest atoms and distances in Å follow each position.
Positions (direct):
Hg1 0.0000 0.0000 0.0000  2 Hg 2.89, 6 Au 2.99
Au1 0.1843 0.6187 0.3215  8 Au 2.86-3.10, 1 Hg 2.99
Au2 0.3215 0.1843 0.6187  8 Au 2.86-3.10, 1 Hg 2.99
Au3 0.3813 0.6785 0.8157  8 Au 2.86-3.10, 1 Hg 2.99
Au4 0.6187 0.3215 0.1843  8 Au 2.86-3.10, 1 Hg 2.99
Au5 0.6785 0.8157 0.3813  8 Au 2.86-3.10, 1 Hg 2.99
Au6 0.8157 0.3813 0.6785  8 Au 2.86-3.10, 1 Hg 2.99

## Properties
Total DFT energy (no corrections), eV/atom: -2.80
Symmetry: R-3, No. 148
Formation energy, eV/atom: 0.056
Offset from the most stable computed form, eV/atom: 0.000
DOS at the Fermi energy, states/eV/f.u.: 1.87

The following is a PBE calculation of a relaxed TbSmTlPb crystal, from Alexandria.

a b c (Å): 5.7079 5.7079 5.7079
angles (deg): 127.37 127.37 77.64
Closest atoms and distances in Å follow each position.
Positions (direct):
Tb1 0.0000 0.0000 0.0000  4 Tl 3.37, 4 Pb 3.37, 4 Sm 3.58
Sm1 0.5000 0.5000 0.0000  4 Tl 3.37, 4 Pb 3.37, 4 Tb 3.58
Tl1 0.7500 0.2500 0.5000  4 Sm 3.37, 4 Tb 3.37, 4 Pb 3.58
Pb1 0.2500 0.7500 0.5000  4 Sm 3.37, 4 Tb 3.37, 4 Tl 3.58

## Properties
Total DFT energy (no corrections), eV/atom: -4.28
Symmetry: I-4m2, No. 119
Formation energy, eV/atom: -0.425
Offset from the most stable computed form, eV/atom: 0.000
DOS at the Fermi energy, states/eV/f.u.: 3.14

The following is a PBE calculation of a relaxed ZrScOs2F crystal, from Alexandria.

a b c (Å): 4.6301 4.6301 3.8802
angles (deg): 90.00 90.00 90.00
Closest atoms and distances in Å follow each position.
Positions (direct):
Zr1 0.0000 0.0000 0.0000  8 Os 3.02, 4 Sc 3.27
Sc1 0.5000 0.5000 0.0000  2 F 1.94
Os1 0.0000 0.5000 0.5000  2 F 2.32
Os2 0.5000 0.0000 0.5000  2 F 2.32
F1 0.5000 0.5000 0.5000  2 Sc 1.94

## Properties
ΔE_f (raw), kcal/mol of atoms: 0.73
Total DFT energy (no corrections), eV/atom: -7.81
Symmetry: P4/mmm, No. 123
DOS at the Fermi energy, states/eV/f.u.: 4.00

The following is a PBE calculation of a relaxed SmEr5Sb6 crystal, from Alexandria.

a b c (Å): 7.5760 7.5760 7.5739
angles (deg): 99.60 99.60 120.01
Closest atoms and distances in Å follow each position.
Positions (direct):
Sm1 0.0000 0.0000 0.0000  6 Sb 3.13
Er1 0.1646 0.8354 0.5000  6 Sb 3.07-3.09
Er2 0.3326 0.6674 0.0000  6 Sb 3.09
Er3 0.5000 0.5000 0.5000  6 Sb 3.06-3.09
Er4 0.6674 0.3326 0.0000  6 Sb 3.09
Er5 0.8354 0.1646 0.5000  6 Sb 3.07-3.09
Sb1 0.0847 0.4223 0.2533  5 Er 3.07-3.09, 1 Sm 3.13
Sb2 0.2543 0.2543 0.7488  5 Er 3.06-3.09, 1 Sm 3.13
Sb3 0.4223 0.0847 0.2533  5 Er 3.07-3.09, 1 Sm 3.13
Sb4 0.5777 0.9153 0.7467  5 Er 3.07-3.09, 1 Sm 3.13
Sb5 0.7457 0.7457 0.2512  5 Er 3.06-3.09, 1 Sm 3.13
Sb6 0.9153 0.5777 0.7467  5 Er 3.07-3.09, 1 Sm 3.13

## Properties
ΔE_f (raw), kcal/mol of atoms: -25.49
Total DFT energy (no corrections), eV/atom: -5.46
Symmetry: C2/m, No. 12
DOS at the Fermi energy, states/eV/f.u.: 2.02

The following is a PBE calculation of a relaxed Pm2SiNi5 crystal, from Alexandria.

a b c (Å): 5.8834 5.8834 5.8834
angles (deg): 122.92 122.92 85.01
Closest atoms and distances in Å follow each position.
Positions (direct):
Pm1 0.0000 0.5000 0.5000  10 Ni 2.85-2.96
Pm2 0.5000 0.0000 0.5000  10 Ni 2.85-2.96
Si1 0.2909 0.2909 0.0000  5 Ni 2.26-2.31
Ni1 0.5316 0.5316 0.5608  1 Si 2.26, 3 Ni 2.43-2.47
Ni2 0.5316 0.9708 0.0000  1 Si 2.26, 3 Ni 2.43-2.47
Ni3 0.5566 0.5566 0.0000  1 Si 2.31, 4 Ni 2.43
Ni4 0.9708 0.5316 0.0000  1 Si 2.26, 3 Ni 2.43-2.47
Ni5 0.9708 0.9708 0.4392  1 Si 2.26, 3 Ni 2.43-2.47

## Properties
ΔE_f (raw), kcal/mol of atoms: -8.58
Total DFT energy (no corrections), eV/atom: -5.85
Symmetry: I4mm, No. 107
DOS at the Fermi energy, states/eV/f.u.: 3.08